(1)
Density functional theory data (PBE) for a relaxed structure of Y3Tl3GaSe8.

For the formation energy from raw total energies, the calculation gives -1.1197 eV per atom. The value obtained for the volume is 898.0 Å³ per cell.

Cell: 14.2724 8.2386 9.0017 Å, 90.00 121.97 90.00°
Last column: nearest neighbours and their distance in Å.
Space group C2/m (No. 12)
One atom of each set of equivalent atoms:
Y: 0.0000 0.0000 0.0000 (multiplicity 2)  6 Se 2.87-2.88
Y: 0.2500 0.2500 0.0000 (multiplicity 4)  6 Se 2.87-2.88
Tl: 0.0000 0.5000 0.5000 (multiplicity 2)  6 Se 3.25-3.27
Tl: 0.2500 0.2500 0.5000 (multiplicity 4)  6 Se 3.26-3.27
Ga: 0.0000 0.5000 0.0000 (multiplicity 2)  6 Se 2.68
Se: 0.0122 0.2663 0.8032 (multiplicity 8)  1 Ga 2.68, 2 Y 2.88
Se: 0.2214 0.5000 0.1969 (multiplicity 4)  1 Ga 2.68, 2 Y 2.88
Se: 0.2365 0.0000 0.2092 (multiplicity 4)  3 Y 2.87



(2)
Density functional theory data (PBE) for a relaxed structure of Sm4TlH.

The raw total energy is -51.38 eV/cell. The value obtained for the volume is 308.5 Å³ per cell.

Cell: 5.1720 6.9312 8.9894 Å, 90.00 106.77 90.00°
Last column: nearest neighbours and their distance in Å.
Space group P2_1/m (No. 11)
One atom of each set of equivalent atoms:
Sm: 0.0000 0.0000 0.0000 (multiplicity 2)  2 H 2.41
Sm: 0.1951 0.0103 0.3902 (multiplicity 4)  1 H 2.47
Sm: 0.3941 0.2500 0.7870 (multiplicity 2)  2 H 2.59-2.60
Tl: 0.3984 0.7500 0.7970 (multiplicity 2)  11 Sm 3.47-3.58
H: 0.0971 0.7500 0.1938 (multiplicity 2)  6 Sm 2.41-2.60